*a*
Compound: CaTa2Br
Source: Alexandria via LeMat-Bulk
Functional: PBE-GGA
Structure: relaxed

abc: 6.0658 6.0658 6.0658
angles: 149.51 122.23 66.73
Last column: nearest neighbours and their distance in Å.
Fractional positions:
Ca1 0.0000 0.0000 0.0000  2 Br 3.06, 2 Ca 3.19, 4 Ta 3.34
Ta1 0.4800 0.4800 0.0000  2 Ta 2.66, 2 Br 2.76
Ta2 0.6902 0.1902 0.5000  2 Ta 2.66
Br1 0.2575 0.7575 0.5000  2 Ta 2.76, 2 Ca 3.06

M_tot = 0.08 Bohr magnetons per cell

=====

*b*
Compound: CaTa2Br
Source: Alexandria via LeMat-Bulk
Functional: PBE-GGA
Structure: relaxed

abc: 4.9490 4.9490 4.9490
angles: 60.00 60.00 60.00
Last column: nearest neighbours and their distance in Å.
Fractional positions:
Ca1 0.0000 0.0000 0.0000  8 Ta 3.03
Ta1 0.2500 0.2500 0.2500  4 Br 3.03, 4 Ca 3.03
Ta2 0.7500 0.7500 0.7500  4 Br 3.03, 4 Ca 3.03
Br1 0.5000 0.5000 0.5000  8 Ta 3.03

M_tot = 2.05 Bohr magnetons per cell

=====

*c*
Compound: CaTa2Br
Source: Alexandria via LeMat-Bulk
Functional: PBE-GGA
Structure: relaxed

abc: 5.2548 5.2548 6.1771
angles: 112.20 112.20 34.53
Last column: nearest neighbours and their distance in Å.
Fractional positions:
Ca1 0.0000 0.0000 0.0000  3 Br 2.71-2.83
Ta1 0.3443 0.3443 0.4710  2 Br 2.79, 5 Ta 2.81-3.12
Ta2 0.6450 0.6450 0.5874  1 Br 2.70, 3 Ta 2.81-2.84
Br1 0.7476 0.7476 0.0636  3 Ta 2.70-2.79, 3 Ca 2.71-2.83

M_tot = 0.00 Bohr magnetons per cell

=====

*d*
Compound: CaTa2Br
Source: Alexandria via LeMat-Bulk
Functional: PBE-GGA
Structure: relaxed

abc: 3.2529 6.2944 4.6065
angles: 90.00 91.18 90.00
Last column: nearest neighbours and their distance in Å.
Fractional positions:
Ca1 0.0000 0.0000 0.0000  4 Br 2.79-2.85
Ta1 0.2625 0.5000 0.2262  3 Ta 2.62-2.93
Ta2 0.7375 0.5000 0.7738  3 Ta 2.62-2.93
Br1 0.5000 0.0000 0.5000  4 Ca 2.79-2.85

M_tot = 0.00 Bohr magnetons per cell

=====

Stability verdict: *c*, ahead by 0.028 eV/atom

=====

*a*
Compound: Ca3TaBr
Source: Alexandria via LeMat-Bulk
Functional: PBE-GGA
Structure: relaxed

abc: 5.4954 5.4954 5.4954
angles: 90.00 90.00 90.00
Last column: nearest neighbours and their distance in Å.
Fractional positions:
Ca1 0.0000 0.0000 0.5000  2 Br 2.75
Ca2 0.0000 0.5000 0.0000  2 Br 2.75
Ca3 0.5000 0.0000 0.0000  2 Br 2.75
Ta1 0.5000 0.5000 0.5000  12 Ca 3.89
Br1 0.0000 0.0000 0.0000  6 Ca 2.75

M_tot = 3.85 Bohr magnetons per cell

=====

*b*
Compound: Ca3TaBr
Source: Alexandria via LeMat-Bulk
Functional: PBE-GGA
Structure: relaxed

abc: 5.6815 5.6815 5.6815
angles: 90.00 90.00 90.00
Last column: nearest neighbours and their distance in Å.
Fractional positions:
Ca1 0.0000 0.0000 0.5000  2 Ta 2.84
Ca2 0.0000 0.5000 0.0000  2 Ta 2.84
Ca3 0.5000 0.0000 0.0000  2 Ta 2.84
Ta1 0.0000 0.0000 0.0000  6 Ca 2.84
Br1 0.5000 0.5000 0.5000  12 Ca 4.02

M_tot = 0.75 Bohr magnetons per cell

=====

Stability verdict: *a*, ahead by 0.294 eV/atom

=====

*a*
Compound: CaTaBr
Source: Alexandria via LeMat-Bulk
Functional: PBE-GGA
Structure: relaxed

abc: 7.2180 7.0741 3.2245
angles: 79.47 74.48 26.05
Last column: nearest neighbours and their distance in Å.
Fractional positions:
Ca1 0.0000 0.0000 0.0000  4 Br 3.10-3.42, 4 Ta 3.16-3.47, 4 Ca 3.22
Ta1 0.3223 0.3223 0.6777  4 Br 2.88-3.22, 2 Ca 3.16
Br1 0.6725 0.6725 0.3275  4 Ta 2.88-3.22, 2 Ca 3.10

M_tot = 0.00 Bohr magnetons per cell

=====

*b*
Compound: CaTaBr
Source: Alexandria via LeMat-Bulk
Functional: PBE-GGA
Structure: relaxed

abc: 3.5486 3.6011 12.3501
angles: 90.00 97.63 90.00
Last column: nearest neighbours and their distance in Å.
Fractional positions:
Ca1 0.0000 0.0000 0.0000  5 Ta 3.21-3.32, 2 Br 3.29-3.43, 2 Ca 3.55
Ca2 0.2120 0.5000 0.3796  8 Br 2.99-3.10
Ta1 0.4184 0.5000 0.8242  4 Ta 2.74
Ta2 0.8782 0.0000 0.7377  4 Ta 2.74, 1 Br 2.79
Br1 0.6457 0.0000 0.2331  6 Ca 3.10-3.43, 1 Br 3.39
Br2 0.7717 0.0000 0.5097  1 Ta 2.79, 4 Ca 2.99

M_tot = 0.00 Bohr magnetons per cell

=====

*c*
Compound: CaTaBr
Source: Alexandria via LeMat-Bulk
Functional: PBE-GGA
Structure: relaxed

abc: 3.4547 4.0508 12.2841
angles: 90.00 90.00 90.00
Last column: nearest neighbours and their distance in Å.
Fractional positions:
Ca1 0.2500 0.2500 0.2405  4 Br 3.02
Ca2 0.7500 0.7500 0.7595  4 Br 3.02
Ta1 0.2500 0.7500 0.0066  4 Ta 2.67
Ta2 0.7500 0.2500 0.9934  4 Ta 2.67
Br1 0.2500 0.2500 0.6426  4 Ca 3.02
Br2 0.7500 0.7500 0.3574  4 Ca 3.02

M_tot = 0.00 Bohr magnetons per cell

=====

*d*
Compound: CaTaBr
Source: Alexandria via LeMat-Bulk
Functional: PBE-GGA
Structure: relaxed

abc: 4.9437 4.9437 3.3045
angles: 90.00 90.00 120.00
Last column: nearest neighbours and their distance in Å.
Fractional positions:
Ca1 0.0000 0.0000 0.0000  6 Ta 3.30, 6 Br 3.30, 2 Ca 3.30
Ta1 0.6667 0.3333 0.5000  3 Br 2.85
Br1 0.3333 0.6667 0.5000  3 Ta 2.85

M_tot = 1.00 Bohr magnetons per cell

=====

Stability verdict: *c*, ahead by 0.055 eV/atom

=====

*a*
Compound: CaTaBr
Source: Alexandria via LeMat-Bulk
Functional: PBE-GGA
Structure: relaxed

abc: 12.6592 12.6592 12.6592
angles: 164.20 161.69 24.27
Last column: nearest neighbours and their distance in Å.
Fractional positions:
Ca1 0.1204 0.1204 0.0000  4 Br 3.03
Ca2 0.8796 0.8796 0.0000  4 Br 3.03
Ta1 0.0000 0.5000 0.5000  4 Ta 2.66
Ta2 0.5000 0.0000 0.5000  4 Ta 2.66
Br1 0.3214 0.3214 0.0000  4 Ca 3.03
Br2 0.6786 0.6786 0.0000  4 Ca 3.03

M_tot = 0.00 Bohr magnetons per cell

=====

*b*
Compound: CaTaBr
Source: Alexandria via LeMat-Bulk
Functional: PBE-GGA
Structure: relaxed

abc: 4.6876 4.6876 4.6876
angles: 60.00 60.00 60.00
Last column: nearest neighbours and their distance in Å.
Fractional positions:
Ca1 0.0000 0.0000 0.0000  4 Br 2.87
Ta1 0.5000 0.5000 0.5000  4 Br 2.87
Br1 0.2500 0.2500 0.2500  4 Ta 2.87, 4 Ca 2.87

M_tot = 0.00 Bohr magnetons per cell

=====

*c*
Compound: CaTaBr
Source: Alexandria via LeMat-Bulk
Functional: PBE-GGA
Structure: relaxed

abc: 3.4120 3.4120 7.0425
angles: 90.00 90.00 120.00
Last column: nearest neighbours and their distance in Å.
Fractional positions:
Ca1 0.0000 0.0000 0.0000  3 Ta 3.14, 3 Br 3.31, 6 Ca 3.41
Ta1 0.3333 0.6667 0.3479  3 Br 2.76
Br1 0.6667 0.3333 0.6216  3 Ta 2.76

M_tot = 0.00 Bohr magnetons per cell

=====

*d*
Compound: CaTaBr
Source: Alexandria via LeMat-Bulk
Functional: PBE-GGA
Structure: relaxed

abc: 3.6427 3.6443 12.7711
angles: 88.85 82.40 90.00
Last column: nearest neighbours and their distance in Å.
Fractional positions:
Ca1 0.1476 0.2340 0.2202  4 Br 3.00, 1 Ta 3.28
Ca2 0.8524 0.7660 0.7798  4 Br 3.00, 1 Ta 3.28
Ta1 0.2683 0.2528 0.9607  4 Ta 2.76
Ta2 0.7317 0.7472 0.0393  4 Ta 2.76
Br1 0.4089 0.2745 0.6581  4 Ca 3.00
Br2 0.5911 0.7255 0.3419  4 Ca 3.00

M_tot = 0.00 Bohr magnetons per cell

=====

Stability verdict: *d*, ahead by 0.117 eV/atom

=====

*a*
Compound: CaTcBr
Source: Alexandria via LeMat-Bulk
Functional: PBE-GGA
Structure: relaxed

abc: 5.1158 5.1158 5.1158
angles: 60.00 60.00 60.00
Last column: nearest neighbours and their distance in Å.
Fractional positions:
Ca1 0.0000 0.0000 0.0000  4 Tc 3.13, 4 Br 3.13
Tc1 0.7500 0.7500 0.7500  4 Ca 3.13
Br1 0.2500 0.2500 0.2500  4 Ca 3.13

M_tot = 4.01 Bohr magnetons per cell

=====

*b*
Compound: CaTcBr
Source: Alexandria via LeMat-Bulk
Functional: PBE-GGA
Structure: relaxed

abc: 6.6381 6.6367 3.3465
angles: 75.42 75.38 29.20
Last column: nearest neighbours and their distance in Å.
Fractional positions:
Ca1 0.0000 0.0000 0.0000  4 Br 3.11, 4 Tc 3.17, 4 Ca 3.35
Tc1 0.6700 0.6700 0.3300  4 Br 3.14-3.15, 4 Ca 3.17, 4 Tc 3.35
Br1 0.3370 0.3370 0.6630  4 Ca 3.11, 4 Tc 3.14-3.15, 4 Br 3.35

M_tot = 2.71 Bohr magnetons per cell

=====

Stability verdict: *b*, ahead by 0.592 eV/atom

=====

*a*
Compound: CaTcBr
Source: Alexandria via LeMat-Bulk
Functional: PBE-GGA
Structure: relaxed

abc: 3.5432 3.5432 6.6997
angles: 90.00 90.00 120.00
Last column: nearest neighbours and their distance in Å.
Fractional positions:
Ca1 0.0000 0.0000 0.0000  3 Br 2.99, 3 Tc 3.08
Tc1 0.6667 0.3333 0.3442  3 Br 3.01, 3 Ca 3.08
Br1 0.3333 0.6667 0.6744  3 Ca 2.99, 3 Tc 3.01

M_tot = 2.91 Bohr magnetons per cell

=====

*b*
Compound: CaTcBr
Source: Alexandria via LeMat-Bulk
Functional: PBE-GGA
Structure: relaxed

abc: 4.6221 4.6221 4.6221
angles: 60.00 60.00 60.00
Last column: nearest neighbours and their distance in Å.
Fractional positions:
Ca1 0.0000 0.0000 0.0000  4 Br 2.83
Tc1 0.5000 0.5000 0.5000  4 Br 2.83
Br1 0.2500 0.2500 0.2500  4 Tc 2.83, 4 Ca 2.83

M_tot = 2.05 Bohr magnetons per cell

=====

Stability verdict: *a*, ahead by 0.253 eV/atom

=====

*a*
Compound: CaTc3Br
Source: Alexandria via LeMat-Bulk
Functional: PBE-GGA
Structure: relaxed

abc: 4.6496 4.6496 4.6496
angles: 90.00 90.00 90.00
Last column: nearest neighbours and their distance in Å.
Fractional positions:
Ca1 0.0000 0.0000 0.0000  12 Tc 3.29
Tc1 0.0000 0.5000 0.5000  2 Br 2.32
Tc2 0.5000 0.0000 0.5000  2 Br 2.32
Tc3 0.5000 0.5000 0.0000  2 Br 2.32
Br1 0.5000 0.5000 0.5000  6 Tc 2.32

M_tot = 1.81 Bohr magnetons per cell

=====

*b*
Compound: CaTc3Br
Source: Alexandria via LeMat-Bulk
Functional: PBE-GGA
Structure: relaxed

abc: 5.1750 5.1750 5.1750
angles: 90.00 90.00 90.00
Last column: nearest neighbours and their distance in Å.
Fractional positions:
Ca1 0.0000 0.0000 0.0000  6 Tc 2.59
Tc1 0.0000 0.0000 0.5000  2 Ca 2.59
Tc2 0.0000 0.5000 0.0000  2 Ca 2.59
Tc3 0.5000 0.0000 0.0000  2 Ca 2.59
Br1 0.5000 0.5000 0.5000  12 Tc 3.66

M_tot = 10.04 Bohr magnetons per cell

=====

Stability verdict: *a*, ahead by 1.441 eV/atom

=====

*a*
Compound: Ca3TcBr
Source: Alexandria via LeMat-Bulk
Functional: PBE-GGA
Structure: relaxed

abc: 5.4702 5.4702 5.4702
angles: 90.00 90.00 90.00
Last column: nearest neighbours and their distance in Å.
Fractional positions:
Ca1 0.0000 0.0000 0.5000  2 Br 2.74
Ca2 0.0000 0.5000 0.0000  2 Br 2.74
Ca3 0.5000 0.0000 0.0000  2 Br 2.74
Tc1 0.5000 0.5000 0.5000  12 Ca 3.87
Br1 0.0000 0.0000 0.0000  6 Ca 2.74

M_tot = 1.55 Bohr magnetons per cell

=====

*b*
Compound: Ca3TcBr
Source: Alexandria via LeMat-Bulk
Functional: PBE-GGA
Structure: relaxed

abc: 5.4705 5.4705 5.4705
angles: 90.00 90.00 90.00
Last column: nearest neighbours and their distance in Å.
Fractional positions:
Ca1 0.0000 0.0000 0.5000  2 Tc 2.74
Ca2 0.0000 0.5000 0.0000  2 Tc 2.74
Ca3 0.5000 0.0000 0.0000  2 Tc 2.74
Tc1 0.0000 0.0000 0.0000  6 Ca 2.74
Br1 0.5000 0.5000 0.5000  12 Ca 3.87

M_tot = 0.00 Bohr magnetons per cell

=====

Stability verdict: *b*, ahead by 0.267 eV/atom